1.
Material: Ni2PtW
Method: DFT, PBE-GGA
State: optimized geometry

Results
Symmetry: No. 65
N(E_F): 1.02 states/eV/atom
Total moment: 0.00 μB/cell
Energy above the lowest structure with this stoichiometry: 19.0 kJ per mole of atoms
ρ: 15.380 g/cm³

Lattice parameters (Å, degrees): 4.5514 4.5514 2.7233 90.00 90.00 108.22
Closest atoms and distances in Å follow each position.
Sites, in units of the cell vectors:
Ni 0.5000 0.5000 0.0000  4 W 2.65, 4 Pt 2.65, 4 Ni 2.67-2.72
W 0.0000 0.5000 0.5000  8 Ni 2.65, 2 Pt 2.67, 2 W 2.72
Ni 0.0000 0.0000 0.0000  4 Pt 2.65, 4 W 2.65, 4 Ni 2.67-2.72
Pt 0.5000 0.0000 0.5000  8 Ni 2.65, 2 W 2.67, 2 Pt 2.72


2.
Material: NiPtW3
Method: DFT, PBE-GGA
State: optimized geometry

Results
Symmetry: No. 221
N(E_F): 1.61 states/eV/atom
Total moment: 0.00 μB/cell
Energy above the lowest structure with this stoichiometry: 94.9 kJ per mole of atoms
ρ: 12.474 g/cm³

Lattice parameters (Å, degrees): 4.7505 4.7505 4.7505 90.00 90.00 90.00
Closest atoms and distances in Å follow each position.
Sites, in units of the cell vectors:
Ni 0.5000 0.5000 0.5000  12 W 3.36
W 0.0000 0.0000 0.5000  2 Pt 2.38
Pt 0.0000 0.0000 0.0000  6 W 2.38
W 0.0000 0.5000 0.0000  2 Pt 2.38
W 0.5000 0.0000 0.0000  2 Pt 2.38


3.
Material: Ni15Pt2W2
Method: DFT, PBE-GGA
State: optimized geometry

Results
Energy: -122.16 eV for the cell shown
Symmetry: No. 166
N(E_F): 1.46 states/eV/atom
Total moment: 4.80 μB/cell
ρ: 11.553 g/cm³

Lattice parameters (Å, degrees): 6.2330 6.2330 6.2330 81.86 81.86 81.86
Closest atoms and distances in Å follow each position.
Sites, in units of the cell vectors:
Ni 0.3335 0.0000 0.6665  9 Ni 2.44-2.72
Ni 0.3335 0.6665 0.0000  9 Ni 2.44-2.72
Ni 0.0000 0.0000 0.5000  8 Ni 2.39-2.45, 2 Pt 2.48
Ni 0.6612 0.1741 0.6612  8 Ni 2.30-2.46, 1 Pt 2.54
Ni 0.8259 0.3388 0.3388  8 Ni 2.30-2.46, 1 Pt 2.54
Ni 0.6665 0.0000 0.3335  9 Ni 2.44-2.72
W 0.3898 0.3898 0.3898  12 Ni 2.66-2.81, 1 W 2.70
Pt 0.8954 0.8954 0.8954  6 Ni 2.48-2.54, 1 Pt 2.56
W 0.6102 0.6102 0.6102  12 Ni 2.66-2.81, 1 W 2.70
Ni 0.5000 0.0000 0.0000  8 Ni 2.39-2.45, 2 Pt 2.48
Ni 0.1741 0.6612 0.6612  8 Ni 2.30-2.46, 1 Pt 2.54
Ni 0.0000 0.6665 0.3335  9 Ni 2.44-2.72
Ni 0.3388 0.3388 0.8259  8 Ni 2.30-2.46, 1 Pt 2.54
Pt 0.1046 0.1046 0.1046  6 Ni 2.48-2.54, 1 Pt 2.56
Ni 0.0000 0.3335 0.6665  9 Ni 2.44-2.72
Ni 0.0000 0.5000 0.0000  8 Ni 2.39-2.45, 2 Pt 2.48
Ni 0.6665 0.3335 0.0000  9 Ni 2.44-2.72
Ni 0.3388 0.8259 0.3388  8 Ni 2.30-2.46, 1 Pt 2.54
Ni 0.6612 0.6612 0.1741  8 Ni 2.30-2.46, 1 Pt 2.54


4.
Material: NiPtW2
Method: DFT, PBE-GGA
State: optimized geometry

Results
Symmetry: No. 216
N(E_F): 0.88 states/eV/atom
Total moment: 0.00 μB/cell
Energy above the lowest structure with this stoichiometry: 21.7 kJ per mole of atoms
ρ: 17.282 g/cm³

Lattice parameters (Å, degrees): 4.3872 4.3872 4.3872 60.00 60.00 60.00
Closest atoms and distances in Å follow each position.
Sites, in units of the cell vectors:
Pt 0.7500 0.7500 0.7500  4 W 2.69, 4 Ni 2.69
Ni 0.5000 0.5000 0.5000  4 Pt 2.69, 4 W 2.69
W 0.2500 0.2500 0.2500  4 Ni 2.69, 4 W 2.69
W 0.0000 0.0000 0.0000  4 W 2.69, 4 Pt 2.69


5.
Material: NiPt6W
Method: DFT, PBE-GGA
State: optimized geometry

Results
Symmetry: No. 123
N(E_F): 1.03 states/eV/atom
Total moment: 0.94 μB/cell
Energy above the lowest structure with this stoichiometry: 0.0 kJ per mole of atoms
ρ: 19.339 g/cm³

Lattice parameters (Å, degrees): 3.9493 3.9493 7.7792 90.00 90.00 90.00
Closest atoms and distances in Å follow each position.
Sites, in units of the cell vectors:
Pt 0.0000 0.5000 0.2518  2 W 2.76, 8 Pt 2.76-2.79, 2 Ni 2.78
Pt 0.5000 0.0000 0.7482  2 W 2.76, 8 Pt 2.76-2.79, 2 Ni 2.78
Pt 0.0000 0.5000 0.7482  2 W 2.76, 8 Pt 2.76-2.79, 2 Ni 2.78
Ni 0.0000 0.0000 0.0000  12 Pt 2.78-2.79
Pt 0.5000 0.5000 0.5000  8 Pt 2.76, 4 W 2.79
Pt 0.5000 0.0000 0.2518  2 W 2.76, 8 Pt 2.76-2.79, 2 Ni 2.78
W 0.0000 0.0000 0.5000  12 Pt 2.76-2.79
Pt 0.5000 0.5000 0.0000  8 Pt 2.78, 4 Ni 2.79


6.
Material: Ni4PtW2
Method: DFT, PBE-GGA
State: optimized geometry

Results
Energy: -218.43 eV for the cell shown
Symmetry: No. 64
N(E_F): 1.44 states/eV/atom
Total moment: 0.00 μB/cell
ρ: 14.410 g/cm³

Lattice parameters (Å, degrees): 9.3442 4.7430 8.2947 90.00 90.00 90.00
Closest atoms and distances in Å follow each position.
Sites, in units of the cell vectors:
Pt 0.5000 0.5000 0.5000  6 Ni 2.48-2.64, 4 W 2.74
W 0.0522 0.5000 0.6556  4 Ni 2.45-2.73
Ni 0.8100 0.0000 0.2917  6 Ni 2.44-2.62, 2 W 2.45-2.53, 1 Pt 2.48
Ni 0.1900 0.0000 0.7083  6 Ni 2.44-2.62, 2 W 2.45-2.53, 1 Pt 2.48
Ni 0.6900 0.5000 0.2917  6 Ni 2.44-2.62, 2 W 2.45-2.53, 1 Pt 2.48
Ni 0.8100 0.5000 0.7917  6 Ni 2.44-2.62, 2 W 2.45-2.53, 1 Pt 2.48
Ni 0.3100 0.0000 0.2083  6 Ni 2.44-2.62, 2 W 2.45-2.53, 1 Pt 2.48
Ni 0.7500 0.7500 0.0436  6 Ni 2.37-2.47, 2 Pt 2.64
Ni 0.7500 0.2500 0.5436  6 Ni 2.37-2.47, 2 Pt 2.64
Pt 0.0000 0.0000 0.5000  6 Ni 2.48-2.64, 4 W 2.74
Ni 0.7500 0.7500 0.5436  6 Ni 2.37-2.47, 2 Pt 2.64
Pt 0.0000 0.5000 0.0000  6 Ni 2.48-2.64, 4 W 2.74
Ni 0.2500 0.2500 0.4564  6 Ni 2.37-2.47, 2 Pt 2.64
Ni 0.2500 0.7500 0.4564  6 Ni 2.37-2.47, 2 Pt 2.64
W 0.0522 0.0000 0.1556  4 Ni 2.45-2.73
W 0.4478 0.0000 0.6556  4 Ni 2.45-2.73
Ni 0.1900 0.5000 0.2083  6 Ni 2.44-2.62, 2 W 2.45-2.53, 1 Pt 2.48
Ni 0.2500 0.7500 0.9564  6 Ni 2.37-2.47, 2 Pt 2.64
W 0.5522 0.5000 0.8444  4 Ni 2.45-2.73
W 0.4478 0.5000 0.1556  4 Ni 2.45-2.73
W 0.9478 0.5000 0.3444  4 Ni 2.45-2.73
W 0.9478 0.0000 0.8444  4 Ni 2.45-2.73
Ni 0.7500 0.2500 0.0436  6 Ni 2.37-2.47, 2 Pt 2.64
Pt 0.5000 0.0000 0.0000  6 Ni 2.48-2.64, 4 W 2.74
W 0.5522 0.0000 0.3444  4 Ni 2.45-2.73
Ni 0.2500 0.2500 0.9564  6 Ni 2.37-2.47, 2 Pt 2.64
Ni 0.3100 0.5000 0.7083  6 Ni 2.44-2.62, 2 W 2.45-2.53, 1 Pt 2.48
Ni 0.6900 0.0000 0.7917  6 Ni 2.44-2.62, 2 W 2.45-2.53, 1 Pt 2.48


7.
Material: NiPt14W
Method: DFT, PBE-GGA
State: optimized geometry

Results
Energy: -105.23 eV for the cell shown
Symmetry: No. 123
N(E_F): 1.56 states/eV/atom
Total moment: 1.85 μB/cell
ρ: 19.985 g/cm³

Lattice parameters (Å, degrees): 5.6201 5.6201 7.8226 90.00 90.00 90.00
Closest atoms and distances in Å follow each position.
Sites, in units of the cell vectors:
Pt 0.1247 0.1247 0.2589  1 W 2.74, 10 Pt 2.74-2.84, 1 Ni 2.74
Pt 0.3750 0.3750 0.0000  12 Pt 2.81-2.84
Pt 0.8750 0.3750 0.5000  8 Pt 2.74, 2 W 2.81, 2 Ni 2.81
Pt 0.3750 0.8750 0.0000  12 Pt 2.81-2.84
Pt 0.6253 0.6253 0.7411  1 W 2.74, 10 Pt 2.74-2.84, 1 Ni 2.74
Pt 0.1247 0.1247 0.7411  1 W 2.74, 10 Pt 2.74-2.84, 1 Ni 2.74
Pt 0.1247 0.6253 0.2589  1 W 2.74, 10 Pt 2.74-2.84, 1 Ni 2.74
W 0.8750 0.8750 0.5000  12 Pt 2.74-2.81
Pt 0.6253 0.1247 0.7411  1 W 2.74, 10 Pt 2.74-2.84, 1 Ni 2.74
Pt 0.6253 0.6253 0.2589  1 W 2.74, 10 Pt 2.74-2.84, 1 Ni 2.74
Pt 0.8750 0.3750 0.0000  12 Pt 2.81-2.84
Pt 0.6253 0.1247 0.2589  1 W 2.74, 10 Pt 2.74-2.84, 1 Ni 2.74
Pt 0.8750 0.8750 0.0000  12 Pt 2.81-2.84
Ni 0.3750 0.3750 0.5000  12 Pt 2.74-2.81
Pt 0.1247 0.6253 0.7411  1 W 2.74, 10 Pt 2.74-2.84, 1 Ni 2.74
Pt 0.3750 0.8750 0.5000  8 Pt 2.74, 2 W 2.81, 2 Ni 2.81


8.
Material: NiPt2W
Method: DFT, PBE-GGA
State: optimized geometry

Results
Symmetry: No. 123
N(E_F): 1.27 states/eV/atom
Total moment: 0.53 μB/cell
Energy above the lowest structure with this stoichiometry: 29.2 kJ per mole of atoms
ρ: 17.442 g/cm³

Lattice parameters (Å, degrees): 4.6848 4.6848 2.7446 90.00 90.00 90.00
Closest atoms and distances in Å follow each position.
Sites, in units of the cell vectors:
Pt 0.0000 0.0000 0.0000  4 Ni 2.71, 4 W 2.71, 2 Pt 2.74
Pt 0.5000 0.5000 0.0000  4 W 2.71, 4 Ni 2.71, 2 Pt 2.74
W 0.5000 0.0000 0.5000  8 Pt 2.71, 2 W 2.74
Ni 0.0000 0.5000 0.5000  8 Pt 2.71, 2 Ni 2.74


9.
Material: Ni6Pt2W
Method: DFT, PBE-GGA
State: optimized geometry

Results
Symmetry: No. 2
N(E_F): 1.24 states/eV/atom
Total moment: 0.00 μB/cell
Energy above the lowest structure with this stoichiometry: 0.0 kJ per mole of atoms
ρ: 13.639 g/cm³

Lattice parameters (Å, degrees): 4.5341 10.0826 5.8137 66.10 82.76 68.20
Closest atoms and distances in Å follow each position.
Sites, in units of the cell vectors:
Ni 0.0841 0.0803 0.5908  7 Ni 2.52-2.67, 4 Pt 2.57-2.68, 1 W 2.63
W 0.2530 0.2459 0.7645  9 Ni 2.50-2.75, 3 Pt 2.61-2.69
Pt 0.2945 0.6414 0.4686  8 Ni 2.59-2.71, 2 W 2.61-2.67, 2 Pt 2.67-2.70
Ni 0.5925 0.5832 0.0792  8 Ni 2.53-2.69, 1 W 2.57, 3 Pt 2.58-2.65
Ni 0.1858 0.8676 0.0250  8 Ni 2.49-2.69, 2 W 2.59-2.60, 2 Pt 2.60-2.61
Ni 0.9159 0.9197 0.4092  7 Ni 2.52-2.67, 4 Pt 2.57-2.68, 1 W 2.63
Ni 0.8662 0.5219 0.7090  6 Ni 2.49-2.70, 2 W 2.59-2.75, 4 Pt 2.60-2.71
W 0.7470 0.7541 0.2355  9 Ni 2.50-2.75, 3 Pt 2.61-2.69
Ni 0.6415 0.9727 0.8120  2 W 2.50-2.58, 8 Ni 2.54-2.67, 2 Pt 2.57-2.63
Ni 0.8142 0.1324 0.9750  8 Ni 2.49-2.69, 2 W 2.59-2.60, 2 Pt 2.60-2.61
Pt 0.4797 0.8091 0.6440  10 Ni 2.57-2.68, 1 W 2.69, 1 Pt 2.70
Ni 0.0327 0.6946 0.8692  8 Ni 2.49-2.67, 1 W 2.52, 3 Pt 2.61-2.64
Ni 0.9673 0.3054 0.1308  8 Ni 2.49-2.67, 1 W 2.52, 3 Pt 2.61-2.64
Ni 0.1338 0.4781 0.2910  6 Ni 2.49-2.70, 2 W 2.59-2.75, 4 Pt 2.60-2.71
Pt 0.5203 0.1909 0.3560  10 Ni 2.57-2.68, 1 W 2.69, 1 Pt 2.70
Pt 0.7055 0.3586 0.5314  8 Ni 2.59-2.71, 2 W 2.61-2.67, 2 Pt 2.67-2.70
Ni 0.4075 0.4168 0.9208  8 Ni 2.53-2.69, 1 W 2.57, 3 Pt 2.58-2.65
Ni 0.3585 0.0273 0.1880  2 W 2.50-2.58, 8 Ni 2.54-2.67, 2 Pt 2.57-2.63


10.
Material: Ni3Pt3W
Method: DFT, PBE-GGA
State: optimized geometry

Results
Symmetry: No. 198
N(E_F): 1.10 states/eV/atom
Total moment: 0.00 μB/cell
Energy above the lowest structure with this stoichiometry: 11.6 kJ per mole of atoms
ρ: 15.619 g/cm³

Lattice parameters (Å, degrees): 7.3799 7.3799 7.3799 90.00 90.00 90.00
Closest atoms and distances in Å follow each position.
Sites, in units of the cell vectors:
Ni 0.9066 0.9066 0.9066  6 Pt 2.56-2.57, 3 W 2.71
Pt 0.8793 0.0725 0.2098  6 Ni 2.51-2.76, 2 W 2.63-2.78
Ni 0.5934 0.0934 0.4066  6 Pt 2.56-2.57, 3 W 2.71
Pt 0.9275 0.7098 0.6207  6 Ni 2.51-2.76, 2 W 2.63-2.78
Pt 0.1207 0.5725 0.2902  6 Ni 2.51-2.76, 2 W 2.63-2.78
Pt 0.4275 0.7902 0.3793  6 Ni 2.51-2.76, 2 W 2.63-2.78
Ni 0.8976 0.3976 0.1024  1 W 2.40, 6 Pt 2.51-2.53
Ni 0.0934 0.4066 0.5934  6 Pt 2.56-2.57, 3 W 2.71
W 0.9149 0.0851 0.5851  2 Ni 2.40-2.52, 3 Pt 2.63
Ni 0.7820 0.7180 0.2820  1 W 2.52, 6 Pt 2.72-2.76
Pt 0.7902 0.3793 0.4275  6 Ni 2.51-2.76, 2 W 2.63-2.78
Ni 0.2820 0.7820 0.7180  1 W 2.52, 6 Pt 2.72-2.76
Ni 0.3976 0.1024 0.8976  1 W 2.40, 6 Pt 2.51-2.53
Pt 0.7098 0.6207 0.9275  6 Ni 2.51-2.76, 2 W 2.63-2.78
Pt 0.6207 0.9275 0.7098  6 Ni 2.51-2.76, 2 W 2.63-2.78
Pt 0.0725 0.2098 0.8793  6 Ni 2.51-2.76, 2 W 2.63-2.78
Pt 0.2098 0.8793 0.0725  6 Ni 2.51-2.76, 2 W 2.63-2.78
W 0.0851 0.5851 0.9149  2 Ni 2.40-2.52, 3 Pt 2.63
W 0.5851 0.9149 0.0851  2 Ni 2.40-2.52, 3 Pt 2.63
Ni 0.4066 0.5934 0.0934  6 Pt 2.56-2.57, 3 W 2.71
Ni 0.1024 0.8976 0.3976  1 W 2.40, 6 Pt 2.51-2.53
W 0.4149 0.4149 0.4149  2 Ni 2.40-2.52, 3 Pt 2.63
Ni 0.2180 0.2180 0.2180  1 W 2.52, 6 Pt 2.72-2.76
Pt 0.5725 0.2902 0.1207  6 Ni 2.51-2.76, 2 W 2.63-2.78
Ni 0.7180 0.2820 0.7820  1 W 2.52, 6 Pt 2.72-2.76
Pt 0.2902 0.1207 0.5725  6 Ni 2.51-2.76, 2 W 2.63-2.78
Ni 0.6024 0.6024 0.6024  1 W 2.40, 6 Pt 2.51-2.53
Pt 0.3793 0.4275 0.7902  6 Ni 2.51-2.76, 2 W 2.63-2.78


11.
Material: Ni2Pt6W
Method: DFT, PBE-GGA
State: optimized geometry

Results
Symmetry: No. 12
N(E_F): 0.95 states/eV/atom
Total moment: 0.00 μB/cell
Energy above the lowest structure with this stoichiometry: 0.0 kJ per mole of atoms
ρ: 18.495 g/cm³

Lattice parameters (Å, degrees): 3.8702 4.7622 8.2676 73.28 76.46 66.02
Closest atoms and distances in Å follow each position.
Sites, in units of the cell vectors:
Pt 0.6659 0.0619 0.6063  4 Ni 2.67-2.78, 5 Pt 2.71-2.81, 3 W 2.72-2.76
Ni 0.6580 0.3976 0.2864  10 Pt 2.67-2.82, 2 W 2.69
Pt 0.3341 0.9381 0.3937  4 Ni 2.67-2.78, 5 Pt 2.71-2.81, 3 W 2.72-2.76
Ni 0.3420 0.6024 0.7136  10 Pt 2.67-2.82, 2 W 2.69
W 0.0000 0.5000 0.5000  8 Pt 2.66-2.76, 4 Ni 2.69
Pt 0.9993 0.8231 0.1783  1 W 2.66, 3 Ni 2.69-2.82, 8 Pt 2.71-2.95
Pt 0.3328 0.2797 0.0547  9 Pt 2.73-2.81, 3 Ni 2.80-2.81
Pt 0.0007 0.1769 0.8217  1 W 2.66, 3 Ni 2.69-2.82, 8 Pt 2.71-2.95
Pt 0.6672 0.7203 0.9453  9 Pt 2.73-2.81, 3 Ni 2.80-2.81


12.
Material: Ni2PtW
Method: DFT, PBE-GGA
State: optimized geometry

Results
Symmetry: No. 47
N(E_F): 0.80 states/eV/atom
Total moment: 0.00 μB/cell
Energy above the lowest structure with this stoichiometry: 9.1 kJ per mole of atoms
ρ: 15.400 g/cm³

Lattice parameters (Å, degrees): 2.7228 3.6806 5.3401 90.00 90.00 90.00
Closest atoms and distances in Å follow each position.
Sites, in units of the cell vectors:
W 0.5000 0.5000 0.7500  8 Ni 2.62, 2 Pt 2.67, 2 W 2.72
Pt 0.5000 0.5000 0.2500  2 W 2.67, 8 Ni 2.68, 2 Pt 2.72
Ni 0.0000 0.0000 0.9883  4 Ni 2.54-2.80, 4 W 2.62, 4 Pt 2.68
Ni 0.0000 0.0000 0.5117  4 Ni 2.54-2.80, 4 W 2.62, 4 Pt 2.68